# 1
Compound: FeAgP2
Source: Alexandria via LeMat-Bulk
Functional: PBE
Structure: relaxed

Calculated values
Energy of formation (eV per atom): 0.07
Offset from the most stable computed form (kJ per mole of atoms): 6.0
Electronic total energy (eV per cell): -43.69
Fermi-level density of states (states/eV per cell): 4.784

Cell lengths 7.215, 3.131, 5.383 Å; angles 90.00, 100.40, 90.00 degrees
Space group C2/m (No. 12)
Asymmetric unit:
Fe 0.000 0.000 0.000
Ag 0.000 0.500 0.500
P 0.226 0.500 0.167

---

# 2
Compound: Fe2AgP
Source: Alexandria via LeMat-Bulk
Functional: PBE
Structure: relaxed

Calculated values
Energy of formation (eV per atom): 0.20
Electronic total energy (eV per cell): -48.74
Fermi-level density of states (states/eV per cell): 5.574

Cell lengths 2.990, 3.800, 10.030 Å; angles 90.00, 90.00, 90.00 degrees
Space group Imm2 (No. 44)
Asymmetric unit:
Fe 0.000 0.000 0.000
Fe 0.000 0.500 0.158
Ag 0.000 0.500 0.777
P 0.000 0.000 0.496

---

What is the Fermi-level density of states in the second record? 5.574 states/eV per cell

---

Which of these has the lowest energy of formation? FeAgP2

---

Number 2 is which compound? Fe2AgP

---

What is the electronic total energy in the first record? -43.69 eV per cell